DFT (PBE with a Hubbard U) results for a relaxed WNF2 crystal.

Results
- Crystal system: cubic
- VASP energy: -18.3 eV per formula unit
- Fermi-level density of states: 1.60 states/eV per cell

Unit cell a=3.8840 b=3.8840 c=3.8840 alpha=60.00 beta=60.00 gamma=60.00
Fractional coordinates of all 4 atoms:
1 W 0.0000 0.0000 0.0000
2 N 0.5000 0.5000 0.5000
3 F 0.2500 0.2500 0.2500
4 F 0.7500 0.7500 0.7500